The following is a PBE-GGA calculation of an optimized crystal structure of RbPbAu2, from Alexandria via LeMat-Bulk.

Structure (CIF):
```
data_RbPbAu2
_chemical_formula_sum 'Rb3 Pb3 Au6'
_symmetry_space_group_name_H-M 'R -3 m'
_symmetry_Int_Tables_number 166
_symmetry_space_group_name_Hall '-R 3 2"'
_cell_length_a 4.9979
_cell_length_b 4.9979
_cell_length_c 18.6013
_cell_angle_alpha 90.00
_cell_angle_beta 90.00
_cell_angle_gamma 120.00
loop_
_atom_site_label
_atom_site_type_symbol
_atom_site_fract_x
_atom_site_fract_y
_atom_site_fract_z
_atom_site_occupancy
Rb1 Rb 0.0000 0.0000 0.0000 1
Pb1 Pb 0.0000 0.0000 0.5000 1
Au1 Au 0.0000 0.0000 0.1934 1
```

Summary:
* formation energy: -164 meV/atom
* ρ: 8.5 Mg/m³